# Ba2LiAl4Zn3

A relaxed Ba2LiAl4Zn3 crystal (PBE, Alexandria).

For the final energy, the calculation gives -26.17 eV for the cell shown. Its crystal system is tetragonal.

Cell lengths 4.6356, 4.6356, 10.8500 Å; angles 90.00, 90.00, 90.00 degrees
With the nearest neighbours (Å) after each atom.
Sites, in units of the cell vectors:
1 Ba 0.0000 0.5000 0.2501  6 Zn 3.53-3.57, 8 Al 3.56-3.57, 2 Li 3.57
2 Ba 0.5000 0.0000 0.7499  6 Zn 3.53-3.57, 8 Al 3.56-3.57, 2 Li 3.57
3 Li 0.0000 0.0000 0.5000  4 Al 2.67
4 Al 0.0000 0.0000 0.0000  4 Zn 2.71
5 Al 0.0000 0.5000 0.6225  2 Li 2.67, 3 Zn 2.67-2.70
6 Al 0.5000 0.0000 0.3775  2 Li 2.67, 3 Zn 2.67-2.70
7 Al 0.5000 0.5000 0.0000  4 Zn 2.71
8 Zn 0.0000 0.5000 0.8712  5 Al 2.70-2.71
9 Zn 0.5000 0.0000 0.1288  5 Al 2.70-2.71
10 Zn 0.5000 0.5000 0.5000  4 Al 2.67